Compound: NaMnTe2O8
Source: the Alexandria database
Functional: PBE with a Hubbard U
Structure: optimized geometry

DOS at the Fermi energy = 0.405 states/eV per atom
Crystal system = trigonal
DFT total energy = -66.7 eV for the cell shown

Cell lengths 5.5394, 5.5394, 7.0476 Å; angles 90.00, 90.00, 120.00 degrees
Sites, in units of the cell vectors:
Na1 0.0000 0.0000 0.0000
Mn1 0.0000 0.0000 0.5000
Te1 0.3333 0.6667 0.2435
Te2 0.6667 0.3333 0.7565
O1 0.0622 0.7503 0.3219
O2 0.2497 0.3119 0.3219
O3 0.3119 0.0622 0.6781
O4 0.3333 0.6667 0.9855
O5 0.6667 0.3333 0.0145
O6 0.6881 0.9378 0.3219
O7 0.7503 0.6881 0.6781
O8 0.9378 0.2497 0.6781